<P>
DFT (meta-GGA SCAN) results for a crystal of La4Au relaxed with PBEsol.

Summary:
Fermi-level density of states, states/eV/cell: 5.5

```
La4Au
1.0
-1.870 1.870 10.813
1.870 -1.870 10.813
1.870 1.870 -10.813
La Au
4 1
Cartesian
0.000 0.000 1.769 La
0.000 0.000 6.616 La
0.000 0.000 15.010 La
0.000 0.000 19.856 La
0.000 0.000 10.813 Au
```


<Q>
DFT (meta-GGA SCAN) results for a crystal of La4Au relaxed with PBEsol.

Summary:
Fermi-level density of states, states/eV/cell: 5.6

```
La4Au
1.0
1.865 1.077 13.203
-1.865 1.077 13.203
0.000 -2.154 13.203
La Au
4 1
Cartesian
0.000 0.000 4.434 La
0.000 0.000 11.706 La
0.000 0.000 27.904 La
0.000 0.000 35.176 La
0.000 0.000 19.805 Au
```


<R>
DFT (meta-GGA SCAN) results for a crystal of La4Au relaxed with PBEsol.

Summary:
Fermi-level density of states, states/eV/cell: 5.7

```
La4Au
1.0
-4.526 4.526 1.874
4.526 -4.526 1.874
4.526 4.526 -1.874
La Au
4 1
Cartesian
6.594 0.728 0.000 La
0.728 2.458 0.000 La
3.798 2.068 1.874 La
-2.068 3.798 1.874 La
0.000 0.000 1.874 Au
```


The structure with the least stability is <Q>.


<P>
DFT (meta-GGA SCAN) results for a crystal of LaMoAu2 relaxed with PBEsol.

Summary:
Fermi-level density of states, states/eV/cell: 3.4

```
LaMoAu2
1.0
1.484 0.857 9.996
-1.484 0.857 9.996
0.000 -1.714 9.996
La Mo Au
1 1 2
Cartesian
0.000 0.000 0.000 La
0.000 0.000 14.994 Mo
0.000 0.000 7.214 Au
0.000 0.000 22.774 Au
```


<Q>
DFT (meta-GGA SCAN) results for a crystal of LaMoAu2 relaxed with PBEsol.

Summary:
Fermi-level density of states, states/eV/cell: 2.6

```
LaMoAu2
1.0
-2.179 2.179 4.228
2.179 -2.179 4.228
2.179 2.179 -4.228
La Mo Au
1 1 2
Cartesian
0.000 0.000 0.000 La
0.000 0.000 4.228 Mo
2.179 0.000 2.114 Au
0.000 2.179 2.114 Au
```


The structure with the least stability is <P>.


<P>
DFT (meta-GGA SCAN) results for a crystal of LaRe2Au relaxed with PBEsol.

Summary:
Fermi-level density of states, states/eV/cell: 2.9

```
LaRe2Au
1.0
1.601 -2.338 0.000
1.601 2.338 0.000
0.000 0.000 9.613
La Re Au
1 2 1
Cartesian
0.000 0.000 0.000 La
0.000 0.000 4.552 Re
1.601 0.000 2.569 Re
1.601 0.000 6.874 Au
```


<Q>
DFT (meta-GGA SCAN) results for a crystal of LaRe2Au relaxed with PBEsol.

Summary:
Fermi-level density of states, states/eV/cell: 2.9

```
LaRe2Au
1.0
3.254 0.000 0.000
0.000 4.971 0.000
-0.246 0.000 4.748
La Re Au
1 2 1
Cartesian
0.000 0.000 0.000 La
0.907 2.485 3.605 Re
2.102 2.485 1.143 Re
1.504 0.000 2.374 Au
```


The structure with the least stability is <Q>.


<P>
DFT (meta-GGA SCAN) results for a crystal of LaRuAu2 relaxed with PBEsol.

Summary:
Fermi-level density of states, states/eV/cell: 2.4

```
LaRuAu2
1.0
2.296 1.326 4.741
-2.296 1.326 4.741
0.000 -2.651 4.741
La Ru Au
1 1 2
Cartesian
0.000 0.000 0.000 La
0.000 0.000 11.645 Ru
0.000 0.000 2.976 Au
0.000 0.000 6.764 Au
```


<Q>
DFT (meta-GGA SCAN) results for a crystal of LaRuAu2 relaxed with PBEsol.

Summary:
Fermi-level density of states, states/eV/cell: 3.6

```
LaRuAu2
1.0
1.467 0.847 9.927
-1.467 0.847 9.927
0.000 -1.693 9.927
La Ru Au
1 1 2
Cartesian
0.000 0.000 0.000 La
0.000 0.000 14.891 Ru
0.000 0.000 7.161 Au
0.000 0.000 22.621 Au
```


<R>
DFT (meta-GGA SCAN) results for a crystal of LaRuAu2 relaxed with PBEsol.

Summary:
Fermi-level density of states, states/eV/cell: 3.8

```
LaRuAu2
1.0
-2.132 2.132 4.208
2.132 -2.132 4.208
2.132 2.132 -4.208
La Ru Au
1 1 2
Cartesian
0.000 0.000 0.000 La
2.132 0.000 2.104 Ru
0.000 0.000 4.208 Au
0.000 2.132 2.104 Au
```


The structure with the least stability is <Q>.


<P>
DFT (meta-GGA SCAN) results for a crystal of LaSc2Au relaxed with PBEsol.

Summary:
Fermi-level density of states, states/eV/cell: 4.8

```
LaSc2Au
1.0
-1.801 2.491 5.247
1.801 -2.491 5.247
1.801 2.491 -5.247
La Sc Au
1 2 1
Cartesian
0.000 0.000 0.000 La
0.000 0.000 4.609 Sc
0.000 2.491 2.335 Sc
1.801 0.000 2.548 Au
```


<Q>
DFT (meta-GGA SCAN) results for a crystal of LaSc2Au relaxed with PBEsol.

Summary:
Fermi-level density of states, states/eV/cell: 6.2

```
LaSc2Au
1.0
0.000 3.601 3.601
3.601 0.000 3.601
3.601 3.601 0.000
La Sc Au
1 2 1
Cartesian
0.000 0.000 0.000 La
3.601 3.601 3.601 Sc
5.401 5.401 5.401 Sc
1.800 1.800 1.800 Au
```


The structure with the least stability is <Q>.


<P>
DFT (meta-GGA SCAN) results for a crystal of LaSc2Au relaxed with PBEsol.

Summary:
Fermi-level density of states, states/eV/cell: 5.5

```
LaSc2Au
1.0
4.480 0.000 0.000
0.000 4.480 0.000
0.000 0.000 4.613
La Sc Au
1 2 1
Cartesian
0.000 0.000 0.000 La
0.000 2.240 2.307 Sc
2.240 0.000 2.307 Sc
2.240 2.240 0.000 Au
```


<Q>
DFT (meta-GGA SCAN) results for a crystal of LaSc2Au relaxed with PBEsol.

Summary:
Fermi-level density of states, states/eV/cell: 4.6

```
LaSc2Au
1.0
3.659 0.000 0.000
0.000 4.917 0.000
0.000 0.000 5.158
La Sc Au
1 2 1
Cartesian
0.000 0.000 0.000 La
0.000 2.458 2.579 Sc
1.829 2.458 0.000 Sc
1.829 0.000 2.579 Au
```


The structure with the least stability is <Q>.


<P>
DFT (meta-GGA SCAN) results for a crystal of La2AuSe relaxed with PBEsol.

Summary:
Fermi-level density of states, states/eV/cell: 4.3

```
La2AuSe
1.0
-2.410 2.731 3.829
2.410 -2.731 3.829
2.410 2.731 -3.829
La Au Se
2 1 1
Cartesian
0.000 0.000 1.900 La
0.000 0.000 5.758 La
0.000 2.731 0.000 Au
2.410 0.000 0.000 Se
```


<Q>
DFT (meta-GGA SCAN) results for a crystal of La2AuSe relaxed with PBEsol.

Summary:
Fermi-level density of states, states/eV/cell: 4.3

```
La2AuSe
1.0
2.104 1.214 7.378
-2.104 1.214 7.378
0.000 -2.429 7.378
La Au Se
2 1 1
Cartesian
0.000 0.000 5.507 La
0.000 0.000 16.629 La
0.000 0.000 0.000 Au
0.000 0.000 11.068 Se
```


The structure with the least stability is <P>.


<P>
DFT (meta-GGA SCAN) results for a crystal of LaAuSe2 relaxed with PBEsol.

Summary:
Fermi-level density of states, states/eV/cell: 1.6

```
LaAuSe2
1.0
3.820 0.000 0.000
0.000 4.764 0.000
-0.009 0.000 4.724
La Au Se
1 1 2
Cartesian
0.000 0.000 0.000 La
-0.004 2.382 2.362 Au
1.906 0.000 2.362 Se
1.910 2.382 0.000 Se
```


<Q>
DFT (meta-GGA SCAN) results for a crystal of LaAuSe2 relaxed with PBEsol.

Summary:
Fermi-level density of states, states/eV/cell: 1.7

```
LaAuSe2
1.0
3.965 0.000 0.000
0.000 3.965 0.000
0.000 0.000 6.074
La Au Se
1 1 2
Cartesian
0.000 0.000 0.000 La
0.000 0.000 3.037 Au
1.983 1.983 1.335 Se
1.983 1.983 4.739 Se
```


The structure with the least stability is <Q>.


<P>
DFT (meta-GGA SCAN) results for a crystal of SrLa3Au relaxed with PBEsol.

Summary:
Fermi-level density of states, states/eV/cell: 7.1

```
SrLa3Au
1.0
5.870 0.000 0.000
0.000 5.870 0.000
0.000 0.000 5.870
Sr La Au
1 3 1
Cartesian
0.000 0.000 0.000 Sr
0.000 2.935 2.935 La
2.935 0.000 2.935 La
2.935 2.935 0.000 La
2.935 2.935 2.935 Au
```


<Q>
DFT (meta-GGA SCAN) results for a crystal of SrLa3Au relaxed with PBEsol.

Summary:
Fermi-level density of states, states/eV/cell: 8.4

```
SrLa3Au
1.0
5.627 0.000 0.000
0.000 5.627 0.000
0.000 0.000 5.627
Sr La Au
1 3 1
Cartesian
0.000 0.000 0.000 Sr
0.000 0.000 2.814 La
0.000 2.814 0.000 La
2.814 0.000 0.000 La
2.814 2.814 2.814 Au
```


The structure with the least stability is <Q>.


<P>
DFT (meta-GGA SCAN) results for a crystal of SrLa2Au relaxed with PBEsol.

Summary:
Fermi-level density of states, states/eV/cell: 4.5

```
SrLa2Au
1.0
3.758 0.000 0.000
0.000 3.758 0.000
0.000 0.000 9.129
Sr La Au
1 2 1
Cartesian
0.000 0.000 0.000 Sr
0.000 0.000 3.606 La
1.879 1.879 6.042 La
1.879 1.879 1.964 Au
```


<Q>
DFT (meta-GGA SCAN) results for a crystal of SrLa2Au relaxed with PBEsol.

Summary:
Fermi-level density of states, states/eV/cell: 4.4

```
SrLa2Au
1.0
4.101 0.000 0.000
0.000 4.798 0.000
-1.747 0.000 6.526
Sr La Au
1 2 1
Cartesian
0.000 0.000 0.000 Sr
0.389 2.399 4.598 La
1.965 2.399 1.928 La
-0.874 0.000 3.263 Au
```


<R>
DFT (meta-GGA SCAN) results for a crystal of SrLa2Au relaxed with PBEsol.

Summary:
Fermi-level density of states, states/eV/cell: 4.8

```
SrLa2Au
1.0
3.839 0.000 0.000
0.000 3.839 0.000
0.000 0.000 9.509
Sr La Au
1 2 1
Cartesian
0.000 0.000 0.000 Sr
1.920 1.920 3.158 La
1.920 1.920 6.351 La
0.000 0.000 4.754 Au
```


The structure with the least stability is <Q>.


<P>
DFT (meta-GGA SCAN) results for a crystal of LaTa2Au relaxed with PBEsol.

Summary:
Fermi-level density of states, states/eV/cell: 3.9

```
LaTa2Au
1.0
2.917 0.000 0.000
0.000 2.917 0.000
0.000 0.000 9.396
La Ta Au
1 2 1
Cartesian
0.000 0.000 0.000 La
1.459 1.459 2.675 Ta
1.459 1.459 6.721 Ta
0.000 0.000 4.698 Au
```


<Q>
DFT (meta-GGA SCAN) results for a crystal of LaTa2Au relaxed with PBEsol.

Summary:
Fermi-level density of states, states/eV/cell: 4.1

```
LaTa2Au
1.0
2.915 -5.052 0.000
2.915 5.052 0.000
-1.142 0.000 2.723
La Ta Au
1 2 1
Cartesian
0.000 0.000 0.000 La
0.886 2.526 1.362 Ta
0.886 -2.526 1.362 Ta
2.915 0.000 0.000 Au
```


The structure with the least stability is <Q>.


<P>
DFT (meta-GGA SCAN) results for a crystal of LaTc2Au relaxed with PBEsol.

Summary:
Fermi-level density of states, states/eV/cell: 3.9

```
LaTc2Au
1.0
4.202 0.000 0.000
0.000 4.202 0.000
0.000 0.000 4.063
La Tc Au
1 2 1
Cartesian
0.000 0.000 0.000 La
0.000 2.101 2.031 Tc
2.101 0.000 2.031 Tc
2.101 2.101 0.000 Au
```


<Q>
DFT (meta-GGA SCAN) results for a crystal of LaTc2Au relaxed with PBEsol.

Summary:
Fermi-level density of states, states/eV/cell: 3.8

```
LaTc2Au
1.0
0.000 3.275 3.275
3.275 0.000 3.275
3.275 3.275 0.000
La Tc Au
1 2 1
Cartesian
0.000 0.000 0.000 La
1.637 1.637 1.637 Tc
4.912 4.912 4.912 Tc
3.275 3.275 3.275 Au
```


The structure with the least stability is <Q>.